Here is a relaxed Hg2BiCl crystal from Alexandria. Energies are from PBE.

Values from the calculation:
E_tot (eV/cell): -27.95
Distance to the lowest polymorph of the same formula (kJ per mole of atoms): 0.0
Formation energy without anion corrections (eV/atom): -0.16
Calculated density (Mg/m³): 9.23
Space group: P2/c

Unit cell a=6.266 b=6.267 c=13.357 alpha=90.00 beta=117.71 gamma=90.00
Positions (direct):
1 Hg 0.117 0.246 0.119
2 Hg 0.117 0.754 0.619
3 Hg 0.370 0.262 0.870
4 Hg 0.370 0.738 0.370
5 Hg 0.630 0.262 0.630
6 Hg 0.630 0.738 0.130
7 Hg 0.883 0.246 0.381
8 Hg 0.883 0.754 0.881
9 Bi 0.377 0.241 0.375
10 Bi 0.377 0.759 0.875
11 Bi 0.623 0.241 0.125
12 Bi 0.623 0.759 0.625
13 Cl 0.125 0.255 0.625
14 Cl 0.125 0.745 0.125
15 Cl 0.875 0.255 0.875
16 Cl 0.875 0.745 0.375

---

Here is a relaxed NaTlSeS2 crystal from Alexandria. Energies are from PBE.

Values from the calculation:
E_tot (eV/cell): -33.87
Formation energy without anion corrections (eV/atom): -0.30
Calculated density (Mg/m³): 5.09
Space group: P2/c

Unit cell a=7.520 b=4.446 c=7.315 alpha=90.00 beta=98.67 gamma=90.00
Positions (direct):
1 Na 0.000 0.001 0.250
2 Na 0.000 0.999 0.750
3 Tl 0.500 0.283 0.750
4 Tl 0.500 0.717 0.250
5 Se 0.000 0.500 0.000
6 Se 0.000 0.500 0.500
7 S 0.303 0.258 0.044
8 S 0.303 0.742 0.544
9 S 0.697 0.258 0.456
10 S 0.697 0.742 0.956

---

Here is a relaxed TlCuTe2 crystal from Alexandria. Energies are from PBE.

Values from the calculation:
E_tot (eV/cell): -12.99
Formation energy without anion corrections (eV/atom): -0.06
Calculated density (Mg/m³): 8.07
Space group: R-3m

Unit cell a=7.888 b=7.888 c=7.888 alpha=29.84 beta=29.84 gamma=29.84
Positions (direct):
1 Tl 0.000 0.000 0.000
2 Cu 0.500 0.500 0.500
3 Te 0.230 0.230 0.230
4 Te 0.770 0.770 0.770